(1)
Material: Y2HoTmN4
Method: DFT, PBE
State: optimized geometry

The structure in CIF format:
```
data_Y2HoTmN4
_space_group_name_H-M_alt 'P 1'
_space_group_IT_number 1
_space_group_name_Hall 'P 1'
_cell_length_a 5.9791
_cell_length_b 3.4530
_cell_length_c 5.9799
_cell_angle_alpha 90.00
_cell_angle_beta 109.45
_cell_angle_gamma 90.00
loop_
_atom_site_label
_atom_site_fract_x
_atom_site_fract_y
_atom_site_fract_z
_atom_site_occupancy
Y1 0.0000 0.0000 0.0000 1
Y2 0.5000 0.5000 0.0000 1
Ho1 0.0000 0.5000 0.5000 1
Tm1 0.5000 0.0000 0.5000 1
N1 0.2502 0.0000 0.7468 1
N2 0.2527 0.5000 0.2541 1
N3 0.7473 0.5000 0.7459 1
N4 0.7498 0.0000 0.2532 1
```

Summary:
Calculated total energy: -8.6473 eV per atom
Space-group type: P2/m (10)

***

(2)
Material: HoTmZr2N4
Method: DFT, PBE
State: optimized geometry

The structure in CIF format:
```
data_HoTmZr2N4
_space_group_name_H-M_alt 'P 1'
_space_group_IT_number 1
_space_group_name_Hall 'P 1'
_cell_length_a 5.7519
_cell_length_b 3.3242
_cell_length_c 5.8041
_cell_angle_alpha 90.00
_cell_angle_beta 109.32
_cell_angle_gamma 90.00
loop_
_atom_site_label
_atom_site_fract_x
_atom_site_fract_y
_atom_site_fract_z
_atom_site_occupancy
Ho1 0.0000 0.0000 0.0000 1
Tm1 0.5000 0.5000 0.0000 1
Zr1 0.0000 0.5000 0.5000 1
Zr2 0.5000 0.0000 0.5000 1
N1 0.2485 0.0000 0.7387 1
N2 0.2557 0.5000 0.2630 1
N3 0.7443 0.5000 0.7370 1
N4 0.7515 0.0000 0.2613 1
```

Summary:
Calculated total energy: -9.1960 eV per atom
Space-group type: P2/m (10)

***

(3)
Material: HoTm2Zr3N6
Method: DFT, PBE
State: optimized geometry

The structure in CIF format:
```
data_HoTm2Zr3N6
_space_group_name_H-M_alt 'P 1'
_space_group_IT_number 1
_space_group_name_Hall 'P 1'
_cell_length_a 5.7477
_cell_length_b 5.7477
_cell_length_c 5.7950
_cell_angle_alpha 99.57
_cell_angle_beta 99.57
_cell_angle_gamma 119.91
loop_
_atom_site_label
_atom_site_fract_x
_atom_site_fract_y
_atom_site_fract_z
_atom_site_occupancy
Ho1 0.0000 0.0000 0.0000 1
Tm1 0.3333 0.6667 0.0000 1
Tm2 0.6667 0.3333 0.0000 1
Zr1 0.1670 0.8330 0.5000 1
Zr2 0.5000 0.5000 0.5000 1
Zr3 0.8330 0.1670 0.5000 1
N1 0.0873 0.4231 0.2614 1
N2 0.2483 0.2483 0.7383 1
N3 0.4231 0.0873 0.2614 1
N4 0.5769 0.9127 0.7386 1
N5 0.7517 0.7517 0.2617 1
N6 0.9127 0.5769 0.7386 1
```

Summary:
Calculated total energy: -9.2005 eV per atom
Space-group type: C2/m (12)

***

(4)
Material: Ho2TmZr3N6
Method: DFT, PBE
State: optimized geometry

The structure in CIF format:
```
data_Ho2TmZr3N6
_space_group_name_H-M_alt 'P 1'
_space_group_IT_number 1
_space_group_name_Hall 'P 1'
_cell_length_a 5.7593
_cell_length_b 5.7593
_cell_length_c 5.8089
_cell_angle_alpha 99.56
_cell_angle_beta 99.56
_cell_angle_gamma 119.91
loop_
_atom_site_label
_atom_site_fract_x
_atom_site_fract_y
_atom_site_fract_z
_atom_site_occupancy
Ho1 0.1666 0.8334 0.0000 1
Ho2 0.8334 0.1666 0.0000 1
Tm1 0.5000 0.5000 0.0000 1
Zr1 0.0000 0.0000 0.5000 1
Zr2 0.3337 0.6663 0.5000 1
Zr3 0.6663 0.3337 0.5000 1
N1 0.0811 0.4121 0.7368 1
N2 0.2569 0.2569 0.2629 1
N3 0.4121 0.0811 0.7368 1
N4 0.5879 0.9189 0.2632 1
N5 0.7431 0.7431 0.7371 1
N6 0.9189 0.5879 0.2632 1
```

Summary:
Calculated total energy: -9.1963 eV per atom
Space-group type: C2/m (12)

***

(5)
Material: HoTm3Zr2N6
Method: DFT, PBE
State: optimized geometry

The structure in CIF format:
```
data_HoTm3Zr2N6
_space_group_name_H-M_alt 'P 1'
_space_group_IT_number 1
_space_group_name_Hall 'P 1'
_cell_length_a 7.4949
_cell_length_b 7.4949
_cell_length_c 6.7183
_cell_angle_alpha 103.03
_cell_angle_beta 103.03
_cell_angle_gamma 25.82
loop_
_atom_site_label
_atom_site_fract_x
_atom_site_fract_y
_atom_site_fract_z
_atom_site_occupancy
Ho1 0.0000 0.0000 0.0000 1
Tm1 0.0000 0.0000 0.5000 1
Tm2 0.3332 0.3332 0.1669 1
Tm3 0.6668 0.6668 0.8331 1
Zr1 0.3330 0.3330 0.6655 1
Zr2 0.6670 0.6670 0.3345 1
N1 0.1685 0.1685 0.0935 1
N2 0.1695 0.1695 0.5778 1
N3 0.4953 0.4953 0.7447 1
N4 0.5047 0.5047 0.2553 1
N5 0.8305 0.8305 0.4222 1
N6 0.8315 0.8315 0.9065 1
```

Summary:
Calculated total energy: -8.8793 eV per atom
Space-group type: C2/m (12)

***

(6)
Material: Ho2TmZrN4
Method: DFT, PBE
State: optimized geometry

The structure in CIF format:
```
data_Ho2TmZrN4
_space_group_name_H-M_alt 'P 1'
_space_group_IT_number 1
_space_group_name_Hall 'P 1'
_cell_length_a 5.8499
_cell_length_b 3.3747
_cell_length_c 5.8574
_cell_angle_alpha 90.00
_cell_angle_beta 109.29
_cell_angle_gamma 90.00
loop_
_atom_site_label
_atom_site_fract_x
_atom_site_fract_y
_atom_site_fract_z
_atom_site_occupancy
Ho1 0.0000 0.0000 0.0000 1
Ho2 0.5000 0.5000 0.0000 1
Tm1 0.0000 0.5000 0.5000 1
Zr1 0.5000 0.0000 0.5000 1
N1 0.2545 0.0000 0.7410 1
N2 0.2600 0.5000 0.2622 1
N3 0.7400 0.5000 0.7378 1
N4 0.7455 0.0000 0.2590 1
```

Summary:
Calculated total energy: -8.7198 eV per atom
Space-group type: P2/m (10)

***

(7)
Material: HoUN2
Method: DFT, PBE
State: optimized geometry

The structure in CIF format:
```
data_HoUN2
_space_group_name_H-M_alt 'P 1'
_space_group_IT_number 1
_space_group_name_Hall 'P 1'
_cell_length_a 3.3555
_cell_length_b 3.3555
_cell_length_c 17.9645
_cell_angle_alpha 90.00
_cell_angle_beta 90.00
_cell_angle_gamma 120.00
loop_
_atom_site_label
_atom_site_fract_x
_atom_site_fract_y
_atom_site_fract_z
_atom_site_occupancy
Ho1 0.0000 0.0000 0.0000 1
Ho2 0.3333 0.6667 0.6667 1
Ho3 0.6667 0.3333 0.3333 1
U1 0.0000 0.0000 0.1736 1
U2 0.3333 0.6667 0.8402 1
U3 0.6667 0.3333 0.5069 1
N1 0.0000 0.0000 0.4237 1
N2 0.0000 0.0000 0.5902 1
N3 0.3333 0.6667 0.0904 1
N4 0.3333 0.6667 0.2569 1
N5 0.6667 0.3333 0.7570 1
N6 0.6667 0.3333 0.9236 1
```

Summary:
Calculated total energy: -9.3892 eV per atom
Space-group type: R3m (160)

***

(8)
Material: HoU2N3
Method: DFT, PBE
State: optimized geometry

The structure in CIF format:
```
data_HoU2N3
_space_group_name_H-M_alt 'P 1'
_space_group_IT_number 1
_space_group_name_Hall 'P 1'
_cell_length_a 3.4436
_cell_length_b 3.4436
_cell_length_c 14.5884
_cell_angle_alpha 90.00
_cell_angle_beta 90.00
_cell_angle_gamma 90.00
loop_
_atom_site_label
_atom_site_fract_x
_atom_site_fract_y
_atom_site_fract_z
_atom_site_occupancy
Ho1 0.0000 0.0000 0.0000 1
Ho2 0.5000 0.5000 0.5000 1
U1 0.0000 0.0000 0.3341 1
U2 0.0000 0.0000 0.6659 1
U3 0.5000 0.5000 0.1659 1
U4 0.5000 0.5000 0.8341 1
N1 0.0000 0.0000 0.1651 1
N2 0.0000 0.0000 0.5000 1
N3 0.0000 0.0000 0.8349 1
N4 0.5000 0.5000 0.0000 1
N5 0.5000 0.5000 0.3349 1
N6 0.5000 0.5000 0.6651 1
```

Summary:
Calculated total energy: -10.1266 eV per atom
Space-group type: I4/mmm (139)

***

(9)
Material: HoU2N4
Method: DFT, PBE
State: optimized geometry

The structure in CIF format:
```
data_HoU2N4
_space_group_name_H-M_alt 'P 1'
_space_group_IT_number 1
_space_group_name_Hall 'P 1'
_cell_length_a 5.9090
_cell_length_b 5.9090
_cell_length_c 10.5412
_cell_angle_alpha 90.00
_cell_angle_beta 90.00
_cell_angle_gamma 146.81
loop_
_atom_site_label
_atom_site_fract_x
_atom_site_fract_y
_atom_site_fract_z
_atom_site_occupancy
Ho1 0.1089 0.8911 0.7500 1
Ho2 0.8911 0.1089 0.2500 1
U1 0.3695 0.6305 0.5718 1
U2 0.3695 0.6305 0.9282 1
U3 0.6305 0.3695 0.0718 1
U4 0.6305 0.3695 0.4282 1
N1 0.0000 0.0000 0.0000 1
N2 0.0000 0.0000 0.5000 1
N3 0.2721 0.7279 0.1081 1
N4 0.2721 0.7279 0.3919 1
N5 0.4666 0.5334 0.7500 1
N6 0.5334 0.4666 0.2500 1
N7 0.7279 0.2721 0.6081 1
N8 0.7279 0.2721 0.8919 1
```

Summary:
Calculated total energy: -10.0355 eV per atom
Space-group type: Cmcm (63)

***

(10)
Material: Ho5UN6
Method: DFT, PBE
State: optimized geometry

The structure in CIF format:
```
data_Ho5UN6
_space_group_name_H-M_alt 'P 1'
_space_group_IT_number 1
_space_group_name_Hall 'P 1'
_cell_length_a 5.9563
_cell_length_b 5.9563
_cell_length_c 5.9550
_cell_angle_alpha 99.59
_cell_angle_beta 99.59
_cell_angle_gamma 119.99
loop_
_atom_site_label
_atom_site_fract_x
_atom_site_fract_y
_atom_site_fract_z
_atom_site_occupancy
Ho1 0.0000 0.0000 0.0000 1
Ho2 0.1664 0.8336 0.5000 1
Ho3 0.3321 0.6679 0.0000 1
Ho4 0.6679 0.3321 0.0000 1
Ho5 0.8336 0.1664 0.5000 1
U1 0.5000 0.5000 0.5000 1
N1 0.1021 0.4192 0.2579 1
N2 0.2636 0.2636 0.7389 1
N3 0.4192 0.1021 0.2579 1
N4 0.5808 0.8979 0.7421 1
N5 0.7364 0.7364 0.2611 1
N6 0.8979 0.5808 0.7421 1
```

Summary:
Calculated total energy: -8.7158 eV per atom
Space-group type: C2/m (12)